Record 1
Nb2ZnNi2 PBE relaxed; space-group type = P4/mbm (127); mass density = 8.27 Mg/m³; V = 14.81 Å³ per atom; energy of formation from the pure elements = -0.147 eV per atom
1.0
6.834 0.000 0.000
0.000 6.834 0.000
0.000 0.000 3.171
Nb Zn Ni
4 2 4
Cartesian
1.199 2.218 0.000
2.218 5.635 0.000
4.616 1.199 0.000
5.635 4.616 0.000
0.000 0.000 1.585
3.417 3.417 1.585
0.851 4.268 1.585
2.566 0.851 1.585
4.268 5.983 1.585
5.983 2.566 1.585

Record 2
NbZn2Ni3 PBE relaxed; space-group type = P4/mmm (123); mass density = 8.59 Mg/m³; V = 12.88 Å³ per atom; energy of formation from the pure elements = -0.233 eV per atom
1.0
2.764 0.000 0.000
0.000 2.764 0.000
0.000 0.000 10.118
Nb Zn Ni
1 2 3
Cartesian
0.000 0.000 0.000
0.000 0.000 3.464
0.000 0.000 6.654
1.382 1.382 1.878
1.382 1.382 5.059
1.382 1.382 8.240

Record 3
NbZnNi2 PBE relaxed; space-group type = Pmmn (59); mass density = 8.57 Mg/m³; V = 13.35 Å³ per atom; energy of formation from the pure elements = -0.218 eV per atom
1.0
4.336 0.000 0.000
0.000 5.712 0.000
0.000 0.000 4.313
Nb Zn Ni
2 2 4
Cartesian
1.084 1.428 0.879
3.252 4.284 3.433
1.084 4.284 0.934
3.252 1.428 3.379
1.084 2.878 3.014
1.084 5.691 3.014
3.252 0.022 1.299
3.252 2.834 1.299

Record 4
NbZnNi5 PBE relaxed; space-group type = P4/mmm (123); mass density = 8.21 Mg/m³; V = 13.05 Å³ per atom; energy of formation from the pure elements = -0.118 eV per atom
1.0
3.656 0.000 0.000
0.000 3.656 0.000
0.000 0.000 6.836
Nb Zn Ni
1 1 5
Cartesian
0.000 0.000 0.000
1.828 1.828 3.418
0.000 1.828 1.806
0.000 1.828 5.030
1.828 0.000 1.806
1.828 0.000 5.030
1.828 1.828 0.000

Record 5
NbZn2Ni2 PBE relaxed; space-group type = P4/mbm (127); mass density = 8.41 Mg/m³; V = 13.47 Å³ per atom; ΔE to the lowest computed polymorph = 0.17 eV/f.u.; energy of formation from the pure elements = -0.122 eV per atom
1.0
7.129 0.000 0.000
0.000 7.129 0.000
0.000 0.000 2.650
Nb Zn Ni
2 4 4
Cartesian
0.000 0.000 0.000
3.564 3.564 0.000
0.873 2.691 0.000
2.691 6.256 0.000
4.438 0.873 0.000
6.256 4.438 0.000
1.259 4.824 1.325
2.305 1.259 1.325
4.824 5.870 1.325
5.870 2.305 1.325

Record 6
NbZnNi6 PBE relaxed; space-group type = Cmmm (65); mass density = 8.86 Mg/m³; V = 11.96 Å³ per atom; ΔE to the lowest computed polymorph = 0.14 eV/f.u.; energy of formation from the pure elements = -0.230 eV per atom
1.0
3.628 -5.137 0.000
3.628 5.137 0.000
0.000 0.000 10.265
Nb Zn Ni
4 4 24
Cartesian
0.000 0.000 2.505
0.000 0.000 7.760
3.628 2.621 5.132
3.628 -2.621 5.132
3.628 2.609 0.000
3.628 0.000 2.528
3.628 0.000 7.736
3.628 -2.609 0.000
0.000 0.000 0.000
0.000 0.000 5.132
1.833 1.291 1.276
1.833 1.291 8.989
1.834 1.277 3.840
1.834 1.277 6.425
3.628 2.567 2.550
3.628 2.567 7.715
1.834 -1.277 3.840
1.834 -1.277 6.425
1.833 -1.291 1.276
1.833 -1.291 8.989
3.628 0.000 0.000
3.628 0.000 5.132
5.422 1.291 1.276
5.422 1.291 8.989
5.421 1.277 3.840
5.421 1.277 6.425
3.628 -2.567 2.550
3.628 -2.567 7.715
5.421 -1.277 3.840
5.421 -1.277 6.425
5.422 -1.291 1.276
5.422 -1.291 8.989